VIr3Ru: relaxed, PBE. Values from VASP.

## Properties
**Raw total energy**: -9.1230 eV/atom

Structure (Quantum ESPRESSO input):
```
&SYSTEM
  ibrav = 0, nat = 10, ntyp = 3
/
ATOMIC_SPECIES
Ir 192.22 Ir.upf
Ru 101.07 Ru.upf
V 50.94 V.upf
CELL_PARAMETERS angstrom
4.153 0.001 -1.248
-0.209 5.352 -0.680
-0.273 -0.559 6.626
ATOMIC_POSITIONS angstrom
Ir 1.456 0.803 5.090
Ir 0.637 4.519 2.382
Ru 3.142 0.610 3.169
Ir 3.053 3.286 2.888
Ir 2.443 1.649 0.860
Ir 0.034 0.142 0.343
V 2.333 4.374 0.489
Ru 0.757 1.842 2.781
Ir -0.015 2.868 0.229
V 1.357 3.431 4.781
```